[1]
! TlHgAsI2, relaxed, DFT GGA-PBE; values from VASP
! energy relative to the elements, uncorrected = 0.4400 eV per atom
! magnetic moment = 2.94 μB per formula unit
! space group = P4/mmm
! D(E_F) = 1.95 states/eV per cell
&SYSTEM
  ibrav = 0, nat = 5, ntyp = 4
/
ATOMIC_SPECIES
I 126.90 I.upf
As 74.92 As.upf
Tl 204.38 Tl.upf
Hg 200.59 Hg.upf
ATOMIC_POSITIONS angstrom
I -0.554 -1.513 2.566
I -2.185 1.979 0.696
As -4.765 -1.259 1.806
Tl -2.026 -1.726 -1.455
Hg 0.000 0.000 0.000
CELL_PARAMETERS angstrom
-4.371 3.959 1.391
-4.052 -3.452 -2.909
-1.107 -3.026 5.131


[2]
! MgMnBr2, relaxed, DFT GGA-PBE; values from VASP
! energy relative to the elements, uncorrected = -0.3968 eV per atom
! magnetic moment = 4.60 μB per formula unit
! space group = Pm
! distance to the lowest polymorph of the same formula = 13.88 kJ per mole of atoms
! D(E_F) = 1.17 states/eV per cell
&SYSTEM
  ibrav = 0, nat = 4, ntyp = 3
/
ATOMIC_SPECIES
Br 79.90 Br.upf
Mg 24.30 Mg.upf
Mn 54.94 Mn.upf
ATOMIC_POSITIONS angstrom
Br 0.000 4.455 8.435
Br 1.754 1.063 3.108
Mg 0.000 2.728 4.596
Mn 1.754 4.409 6.642
CELL_PARAMETERS angstrom
3.508 0.000 0.000
0.000 3.502 0.053
0.000 1.561 9.059


[3]
! NbCrSe3, relaxed, DFT GGA-PBE; values from VASP
! energy relative to the elements, uncorrected = 0.1421 eV per atom
! magnetic moment = 4.67 μB per formula unit
! space group = Pm-3m
! distance to the lowest polymorph of the same formula = 54.46 kJ per mole of atoms
! D(E_F) = 3.59 states/eV per cell
&SYSTEM
  ibrav = 0, nat = 5, ntyp = 3
/
ATOMIC_SPECIES
Cr 52.00 Cr.upf
Nb 92.91 Nb.upf
Se 78.96 Se.upf
ATOMIC_POSITIONS angstrom
Cr 2.528 2.528 2.528
Nb 0.000 0.000 0.000
Se 0.000 2.528 0.000
Se 0.000 0.000 2.528
Se 2.528 0.000 0.000
CELL_PARAMETERS angstrom
5.056 0.000 0.000
0.000 5.056 0.000
0.000 0.000 5.056


Calculated E_tot (eV per atom), listed in the same order as above: -1.6436; -3.9242; -5.8873